P:
Here is an optimized crystal structure of SbAsF2 from the Alexandria database. Energies are from PBE.

Unit cell a=6.3072 b=6.3072 c=6.3072 alpha=90.00 beta=90.00 gamma=90.00
Last column: nearest neighbours and their distance in Å.
Space group Fm-3m (No. 225)
Inequivalent atoms, fractional coordinates:
Sb  0.0000  0.0000  0.0000 x4  8 F 2.73
As  0.0000  0.0000  0.5000 x4  8 F 2.73
F  0.2500  0.2500  0.2500 x8  4 As 2.73, 4 Sb 2.73

Mass density: 6.21 Mg/m³
Fermi-level density of states: 0.448 states/eV per atom

---

Q:
Here is an optimized crystal structure of SbAsF2 from the Alexandria database. Energies are from PBE.

Unit cell a=3.1450 b=3.1450 c=25.0666 alpha=90.00 beta=90.00 gamma=120.00
Last column: nearest neighbours and their distance in Å.
Space group R-3m (No. 166, hexagonal axes)
Inequivalent atoms, fractional coordinates:
Sb  0.0000  0.0000  0.0000 x3  6 F 2.82, 6 Sb 3.15
As  0.0000  0.0000  0.5000 x3  2 F 2.01
F  0.0000  0.0000  0.4196 x6  1 As 2.01

Mass density: 5.44 Mg/m³
Fermi-level density of states: 0.786 states/eV per atom

---

Quick one: least stable of them? P

---

P:
Here is an optimized crystal structure of SbAs2SeF from the Alexandria database. Energies are from PBE.

Unit cell a=5.3554 b=5.3554 c=5.2351 alpha=90.00 beta=90.00 gamma=90.00
Last column: nearest neighbours and their distance in Å.
Space group P4/mmm (No. 123)
Inequivalent atoms, fractional coordinates:
Sb  0.0000  0.0000  0.0000 x1  2 Se 2.62, 4 As 2.68
As  0.0000  0.5000  0.0000 x2  2 Sb 2.68
Se  0.0000  0.0000  0.5000 x1  2 Sb 2.62
F  0.5000  0.5000  0.5000 x1  8 As 3.74, 4 Se 3.79

Mass density: 4.09 Mg/m³
Fermi-level density of states: 1.077 states/eV per atom

---

Q:
Here is an optimized crystal structure of SbAs2SeF from the Alexandria database. Energies are from PBE.

Unit cell a=4.3319 b=4.3319 c=5.7043 alpha=90.00 beta=90.00 gamma=90.00
Last column: nearest neighbours and their distance in Å.
Space group P4/mmm (No. 123)
Inequivalent atoms, fractional coordinates:
Sb  0.0000  0.0000  0.0000 x1  4 Se 3.06
As  0.0000  0.5000  0.5000 x2  2 F 2.17
Se  0.5000  0.5000  0.0000 x1  2 F 2.85, 4 Sb 3.06
F  0.5000  0.5000  0.5000 x1  4 As 2.17

Mass density: 5.73 Mg/m³
Fermi-level density of states: 0.591 states/eV per atom

---

Quick one: least stable of them? P

---

P:
Here is an optimized crystal structure of Sb2TeAsF from the Alexandria database. Energies are from PBE.

Unit cell a=5.3353 b=5.3353 c=5.4771 alpha=90.00 beta=90.00 gamma=90.00
Last column: nearest neighbours and their distance in Å.
Space group P4/mmm (No. 123)
Inequivalent atoms, fractional coordinates:
Sb  0.0000  0.5000  0.0000 x2  2 As 2.67
Te  0.0000  0.0000  0.5000 x1  2 As 2.74
As  0.0000  0.0000  0.0000 x1  4 Sb 2.67, 2 Te 2.74
F  0.5000  0.5000  0.5000 x1  4 Te 3.77, 8 Sb 3.82

Mass density: 4.95 Mg/m³
Fermi-level density of states: 0.709 states/eV per atom

---

Q:
Here is an optimized crystal structure of Sb2TeAsF from the Alexandria database. Energies are from PBE.

Unit cell a=4.7263 b=4.7263 c=5.5030 alpha=90.00 beta=90.00 gamma=90.00
Last column: nearest neighbours and their distance in Å.
Space group P4/mmm (No. 123)
Inequivalent atoms, fractional coordinates:
Sb  0.0000  0.5000  0.0000 x2  2 F 2.36
Te  0.0000  0.0000  0.5000 x1  2 F 2.75
As  0.5000  0.5000  0.5000 x1  4 Te 3.34, 8 Sb 3.63
F  0.0000  0.0000  0.0000 x1  4 Sb 2.36

Mass density: 6.28 Mg/m³
Fermi-level density of states: 0.537 states/eV per atom

---

Quick one: least stable of them? P